Material: Li5FeSi2O8
Method: DFT, PBE with a Hubbard U
State: relaxed

Cell: 5.2683 5.2683 6.3006 Å, 89.72 89.72 90.79°
With the nearest neighbours (Å) after each atom.
Element x y z (fractional)
O1 0.3049 0.3006 0.4638  1 Si 1.62
O2 0.2265 0.8661 0.2394  1 Si 1.70, 1 Fe 1.89
O3 0.8639 0.2014 0.2496  1 Si 1.62
O4 0.2978 0.3146 0.0338  1 Si 1.69
O5 0.6854 0.7022 0.9662  1 Si 1.69
O6 0.6994 0.6951 0.5362  1 Si 1.62
O7 0.1339 0.7735 0.7606  1 Si 1.70, 1 Fe 1.89
O8 0.7986 0.1361 0.7504  1 Si 1.62
Li1 0.3294 0.6706 0.5000  4 O 1.97-2.01
Li2 0.6958 0.3042 0.0000  4 O 1.89-2.11
Li3 0.6819 0.3181 0.5000  4 O 1.95-2.00
Li4 0.8016 0.8314 0.2626  3 O 1.94-2.08
Li5 0.1686 0.1984 0.7374  3 O 1.94-2.08
Si1 0.1704 0.1820 0.2560  4 O 1.62-1.70
Si2 0.8180 0.8296 0.7440  4 O 1.62-1.70
Fe1 0.3238 0.6762 0.0000  4 O 1.89-1.92

Properties
Uncorrected energy: -102.82 eV per cell
Calculated density: 2.6 g/cm3